Compound: NdYCu4
Source: Alexandria via LeMat-Bulk
Functional: PBE-GGA
Structure: relaxed

It has space group F-43m (No. 216), with a = 7.527 Å, b = 7.527 Å, c = 7.527 Å, α = 90.00°, β = 90.00° and γ = 90.00°. Symmetry generates all atoms from Nd at (0.000, 0.000, 0.000), Y at (0.250, 0.250, 0.250) and Cu at (0.124, 0.124, 0.624).

The calculation puts the formation energy at -118 meV per atom. As for the calculated volume: 17.77 Å³ per atom. The calculation puts the polymorph energy (0 for the lowest one) at 117 meV per atom. For the density of states at the Fermi level, the calculation gives 0.536 states/eV per atom. The value obtained for the magnetic moment is 0.00 μB per formula unit.